# 1
Entry from the Alexandria database: a geometry-optimized CrPb2Cl structure (GGA-PBE).

Unit cell a=3.4971 b=3.4971 c=8.2082 alpha=90.00 beta=90.00 gamma=90.00
With the nearest neighbours (Å) after each atom.
Fractional coordinates of all 4 atoms:
Cl  0.5000  0.5000  0.2500  8 Pb 3.33, 4 Cl 3.50
Cr  0.5000  0.5000  0.7500  8 Pb 3.11
Pb  0.0000  0.0000  0.9791  4 Cr 3.11, 4 Cl 3.33
Pb  0.0000  0.0000  0.5209  4 Cr 3.11, 4 Cl 3.33

Summary:
Its density of states at the Fermi level is 3.0 states/eV per cell. Its raw total energy is -4.62 eV/atom. The polymorph energy (0 for the lowest one) is 185 meV/atom.

---

# 2
Entry from the Alexandria database: a geometry-optimized CrPb2Cl2 structure (GGA-PBE).

Unit cell a=7.8543 b=7.8543 c=4.9372 alpha=90.00 beta=90.00 gamma=90.00
With the nearest neighbours (Å) after each atom.
Fractional coordinates of all 10 atoms:
Pb  0.2856  0.7856  0.0000  2 Cr 2.80, 2 Cl 2.84
Pb  0.7856  0.7144  0.0000  2 Cr 2.80, 2 Cl 2.84
Pb  0.7144  0.2144  0.0000  2 Cr 2.80, 2 Cl 2.84
Pb  0.2144  0.2856  0.0000  2 Cr 2.80, 2 Cl 2.84
Cl  0.6590  0.8410  0.5000  2 Pb 2.84
Cl  0.3410  0.1590  0.5000  2 Pb 2.84
Cl  0.1590  0.6590  0.5000  2 Pb 2.84
Cl  0.8410  0.3410  0.5000  2 Pb 2.84
Cr  0.0000  0.0000  0.0000  4 Pb 2.80
Cr  0.5000  0.5000  0.0000  4 Pb 2.80

Summary:
Its density of states at the Fermi level is 2.6 states/eV per cell. Its raw total energy is -4.22 eV/atom. The polymorph energy (0 for the lowest one) is 0 meV/atom.

---

- The highest raw total energy belongs to which entry?
  CrPb2Cl2

---

Copy entry 2 word for word.
Entry from the Alexandria database: a geometry-optimized CrPb2Cl2 structure (GGA-PBE).

Unit cell a=7.8543 b=7.8543 c=4.9372 alpha=90.00 beta=90.00 gamma=90.00
With the nearest neighbours (Å) after each atom.
Fractional coordinates of all 10 atoms:
Pb  0.2856  0.7856  0.0000  2 Cr 2.80, 2 Cl 2.84
Pb  0.7856  0.7144  0.0000  2 Cr 2.80, 2 Cl 2.84
Pb  0.7144  0.2144  0.0000  2 Cr 2.80, 2 Cl 2.84
Pb  0.2144  0.2856  0.0000  2 Cr 2.80, 2 Cl 2.84
Cl  0.6590  0.8410  0.5000  2 Pb 2.84
Cl  0.3410  0.1590  0.5000  2 Pb 2.84
Cl  0.1590  0.6590  0.5000  2 Pb 2.84
Cl  0.8410  0.3410  0.5000  2 Pb 2.84
Cr  0.0000  0.0000  0.0000  4 Pb 2.80
Cr  0.5000  0.5000  0.0000  4 Pb 2.80

Summary:
Its density of states at the Fermi level is 2.6 states/eV per cell. Its raw total energy is -4.22 eV/atom. The polymorph energy (0 for the lowest one) is 0 meV/atom.

---

- Look up the raw total energy of the first one.
  -4.62 eV/atom